#one
Computed, not measured: SrC3Cl after structural relaxation at the PBE level of DFT.

The structure belongs to space group Pm-3m (No. 221); the cell edges are 5.310, 5.310 and 5.310 Å and the angles 90.00°, 90.00° and 90.00°. The distinct sites, in fractional coordinates, are Sr at (0.000, 0.000, 0.000), C at (0.000, 0.000, 0.500) and Cl at (0.500, 0.500, 0.500).

For the volume, the calculation gives 149.7 Å³/cell. Its size of the total moment is 7.00 μB/cell.

***

#two
Computed, not measured: SrC3Cl after structural relaxation at the PBE level of DFT.

The structure belongs to space group Pm-3m (No. 221); the cell edges are 4.191, 4.191 and 4.191 Å and the angles 90.00°, 90.00° and 90.00°. The distinct sites, in fractional coordinates, are Sr at (0.000, 0.000, 0.000), C at (0.000, 0.500, 0.500) and Cl at (0.500, 0.500, 0.500).

For the volume, the calculation gives 73.6 Å³/cell. Its size of the total moment is 0.83 μB/cell.

***

What is the stability order? It is #two, #one, from most stable to least stable.

***

#one
Computed, not measured: Ta2CCl after structural relaxation at the PBE level of DFT.

The structure belongs to space group Fm-3m (No. 225); the cell edges are 5.940, 5.940 and 5.940 Å and the angles 90.00°, 90.00° and 90.00°. The distinct sites, in fractional coordinates, are Ta at (0.250, 0.250, 0.250), C at (0.000, 0.000, 0.000) and Cl at (0.000, 0.000, 0.500).

For the volume, the calculation gives 209.6 Å³/cell. Its size of the total moment is 0.00 μB/cell.

***

#two
Computed, not measured: Ta2CCl after structural relaxation at the PBE level of DFT.

The structure belongs to space group I-42d (No. 122); the cell edges are 4.855, 4.855 and 12.099 Å and the angles 90.00°, 90.00° and 90.00°. The distinct sites, in fractional coordinates, are Ta at (0.159, 0.250, 0.125), C at (0.000, 0.000, 0.000) and Cl at (0.000, 0.000, 0.500).

For the volume, the calculation gives 285.2 Å³/cell. Its size of the total moment is 0.00 μB/cell.

***

What is the stability order? It is #two, #one, from most stable to least stable.

***

#one
Computed, not measured: Tc2CCl2 after structural relaxation at the PBE level of DFT.

The structure belongs to space group I4/mmm (No. 139); the cell edges are 3.877, 3.877 and 11.126 Å and the angles 90.00°, 90.00° and 90.00°. The distinct sites, in fractional coordinates, are Tc at (0.000, 0.000, 0.096), C at (0.000, 0.000, 0.500) and Cl at (0.000, 0.500, 0.250).

For the volume, the calculation gives 167.2 Å³/cell. Its size of the total moment is 0.00 μB/cell.

***

#two
Computed, not measured: Tc2CCl2 after structural relaxation at the PBE level of DFT.

The structure belongs to space group P4/mbm (No. 127); the cell edges are 5.613, 5.613 and 4.748 Å and the angles 90.00°, 90.00° and 90.00°. The distinct sites, in fractional coordinates, are Tc at (0.169, 0.331, 0.000), C at (0.000, 0.000, 0.000) and Cl at (0.182, 0.318, 0.500).

For the volume, the calculation gives 149.6 Å³/cell. Its size of the total moment is 0.00 μB/cell.

***

What is the stability order? It is #two, #one, from most stable to least stable.

***

#one
Computed, not measured: TcC2Cl after structural relaxation at the PBE level of DFT.

The structure belongs to space group I-42d (No. 122); the cell edges are 5.315, 5.315 and 9.464 Å and the angles 90.00°, 90.00° and 90.00°. The distinct sites, in fractional coordinates, are Tc at (0.000, 0.000, 0.000), C at (0.128, 0.250, 0.125) and Cl at (0.000, 0.000, 0.500).

For the volume, the calculation gives 267.3 Å³/cell. Its size of the total moment is 0.00 μB/cell.

***

#two
Computed, not measured: TcC2Cl after structural relaxation at the PBE level of DFT.

The structure belongs to space group Fm-3m (No. 225); the cell edges are 5.539, 5.539 and 5.539 Å and the angles 90.00°, 90.00° and 90.00°. The distinct sites, in fractional coordinates, are Tc at (0.000, 0.000, 0.000), C at (0.250, 0.250, 0.250) and Cl at (0.000, 0.000, 0.500).

For the volume, the calculation gives 169.9 Å³/cell. Its size of the total moment is 0.00 μB/cell.

***

What is the stability order? It is #one, #two, from most stable to least stable.

***

#one
Computed, not measured: TeC2Cl after structural relaxation at the PBE level of DFT.

The structure belongs to space group Fm-3m (No. 225); the cell edges are 6.105, 6.105 and 6.105 Å and the angles 90.00°, 90.00° and 90.00°. The distinct sites, in fractional coordinates, are Te at (0.000, 0.000, 0.000), C at (0.250, 0.250, 0.250) and Cl at (0.000, 0.000, 0.500).

For the volume, the calculation gives 227.6 Å³/cell. Its size of the total moment is 0.00 μB/cell.

***

#two
Computed, not measured: TeC2Cl after structural relaxation at the PBE level of DFT.

The structure belongs to space group I-42d (No. 122); the cell edges are 5.939, 5.939 and 8.312 Å and the angles 90.00°, 90.00° and 90.00°. The distinct sites, in fractional coordinates, are Te at (0.000, 0.000, 0.000), C at (0.219, 0.250, 0.125) and Cl at (0.000, 0.000, 0.500).

For the volume, the calculation gives 293.2 Å³/cell. Its size of the total moment is 0.00 μB/cell.

***

What is the stability order? It is #two, #one, from most stable to least stable.

***

#one
Computed, not measured: TiCCl2 after structural relaxation at the PBE level of DFT.

The structure belongs to space group I-42d (No. 122); the cell edges are 9.159, 9.159 and 4.046 Å and the angles 90.00°, 90.00° and 90.00°. The distinct sites, in fractional coordinates, are Ti at (0.000, 0.000, 0.000), C at (0.000, 0.000, 0.500) and Cl at (0.081, 0.750, 0.125).

For the volume, the calculation gives 339.4 Å³/cell. Its size of the total moment is 5.00 μB/cell.

***

#two
Computed, not measured: TiCCl2 after structural relaxation at the PBE level of DFT.

The structure belongs to space group R-3m (No. 166, hexagonal axes); the cell edges are 3.1451, 3.1451 and 23.9726 Å and the angles 90.00°, 90.00° and 120.00°. The distinct sites, in fractional coordinates, are Ti at (0.0000, 0.0000, 0.0000), C at (0.0000, 0.0000, 0.5000) and Cl at (0.0000, 0.0000, 0.4026).

For the volume, the calculation gives 205.4 Å³/cell. Its size of the total moment is 0.00 μB/cell.

***

#three
Computed, not measured: TiCCl2 after structural relaxation at the PBE level of DFT.

The structure belongs to space group Fm-3m (No. 225); the cell edges are 6.115, 6.115 and 6.115 Å and the angles 90.00°, 90.00° and 90.00°. The distinct sites, in fractional coordinates, are Ti at (0.000, 0.000, 0.000), C at (0.000, 0.000, 0.500) and Cl at (0.250, 0.250, 0.250).

For the volume, the calculation gives 228.7 Å³/cell. Its size of the total moment is 0.79 μB/cell.

***

What is the stability order? It is #one, #two, #three, from most stable to least stable.

***

#one
Computed, not measured: VCCl2 after structural relaxation at the PBE level of DFT.

The structure belongs to space group I-42d (No. 122); the cell edges are 8.951, 8.951 and 3.887 Å and the angles 90.00°, 90.00° and 90.00°. The distinct sites, in fractional coordinates, are V at (0.000, 0.000, 0.000), C at (0.000, 0.000, 0.500) and Cl at (0.084, 0.250, 0.125).

For the volume, the calculation gives 311.4 Å³/cell. Its size of the total moment is 7.26 μB/cell.

***

#two
Computed, not measured: VCCl2 after structural relaxation at the PBE level of DFT.

The structure belongs to space group Fm-3m (No. 225); the cell edges are 6.092, 6.092 and 6.092 Å and the angles 90.00°, 90.00° and 90.00°. The distinct sites, in fractional coordinates, are V at (0.000, 0.000, 0.000), C at (0.000, 0.000, 0.500) and Cl at (0.250, 0.250, 0.250).

For the volume, the calculation gives 226.1 Å³/cell. Its size of the total moment is 4.58 μB/cell.

***

#three
Computed, not measured: VCCl2 after structural relaxation at the PBE level of DFT.

The structure belongs to space group R-3m (No. 166, hexagonal axes); the cell edges are 3.0915, 3.0915 and 23.7652 Å and the angles 90.00°, 90.00° and 120.00°. The distinct sites, in fractional coordinates, are V at (0.0000, 0.0000, 0.0000), C at (0.0000, 0.0000, 0.5000) and Cl at (0.0000, 0.0000, 0.4005).

For the volume, the calculation gives 196.7 Å³/cell. Its size of the total moment is 2.02 μB/cell.

***

What is the stability order? It is #one, #three, #two, from most stable to least stable.

***

#one
Computed, not measured: WC2Cl after structural relaxation at the PBE level of DFT.

The structure belongs to space group Fm-3m (No. 225); the cell edges are 5.572, 5.572 and 5.572 Å and the angles 90.00°, 90.00° and 90.00°. The distinct sites, in fractional coordinates, are W at (0.000, 0.000, 0.000), C at (0.250, 0.250, 0.250) and Cl at (0.000, 0.000, 0.500).

For the volume, the calculation gives 173.0 Å³/cell. Its size of the total moment is 0.00 μB/cell.

***

#two
Computed, not measured: WC2Cl after structural relaxation at the PBE level of DFT.

The structure belongs to space group I-42d (No. 122); the cell edges are 5.410, 5.410 and 9.767 Å and the angles 90.00°, 90.00° and 90.00°. The distinct sites, in fractional coordinates, are W at (0.000, 0.000, 0.000), C at (0.130, 0.250, 0.125) and Cl at (0.000, 0.000, 0.500).

For the volume, the calculation gives 285.9 Å³/cell. Its size of the total moment is 0.00 μB/cell.

***

What is the stability order? It is #two, #one, from most stable to least stable.

***

#one
Computed, not measured: YCCl2 after structural relaxation at the PBE level of DFT.

The structure belongs to space group I-42d (No. 122); the cell edges are 4.231, 4.231 and 17.954 Å and the angles 90.00°, 90.00° and 90.00°. The distinct sites, in fractional coordinates, are Y at (0.000, 0.000, 0.000), C at (0.000, 0.000, 0.500) and Cl at (0.246, 0.250, 0.625).

For the volume, the calculation gives 321.4 Å³/cell. Its size of the total moment is 3.74 μB/cell.

***

#two
Computed, not measured: YCCl2 after structural relaxation at the PBE level of DFT.

The structure belongs to space group Fm-3m (No. 225); the cell edges are 6.711, 6.711 and 6.711 Å and the angles 90.00°, 90.00° and 90.00°. The distinct sites, in fractional coordinates, are Y at (0.000, 0.000, 0.000), C at (0.000, 0.000, 0.500) and Cl at (0.250, 0.250, 0.250).

For the volume, the calculation gives 302.2 Å³/cell. Its size of the total moment is 12.00 μB/cell.

***

#three
Computed, not measured: YCCl2 after structural relaxation at the PBE level of DFT.

The structure belongs to space group R-3m (No. 166, hexagonal axes); the cell edges are 3.7692, 3.7692 and 24.7282 Å and the angles 90.00°, 90.00° and 120.00°. The distinct sites, in fractional coordinates, are Y at (0.0000, 0.0000, 0.0000), C at (0.0000, 0.0000, 0.5000) and Cl at (0.0000, 0.0000, 0.4008).

For the volume, the calculation gives 304.3 Å³/cell. Its size of the total moment is 7.18 μB/cell.

***

What is the stability order? It is #two, #one, #three, from most stable to least stable.

***

#one
Computed, not measured: YC2Cl after structural relaxation at the PBE level of DFT.

The structure belongs to space group I4_1/amd (No. 141, origin choice 2); the cell edges are 3.510, 3.510 and 21.683 Å and the angles 90.00°, 90.00° and 90.00°. The distinct sites, in fractional coordinates, are Y at (0.000, 0.250, 0.375), C at (0.000, 0.000, 0.000) and Cl at (0.000, 0.250, 0.875).

For the volume, the calculation gives 267.1 Å³/cell. Its size of the total moment is 0.00 μB/cell.

***

#two
Computed, not measured: YC2Cl after structural relaxation at the PBE level of DFT.

The structure belongs to space group Fm-3m (No. 225); the cell edges are 6.156, 6.156 and 6.156 Å and the angles 90.00°, 90.00° and 90.00°. The distinct sites, in fractional coordinates, are Y at (0.000, 0.000, 0.000), C at (0.250, 0.250, 0.250) and Cl at (0.000, 0.000, 0.500).

For the volume, the calculation gives 233.3 Å³/cell. Its size of the total moment is 0.00 μB/cell.

***

What is the stability order? It is #one, #two, from most stable to least stable.

***

#one
Computed, not measured: Zn2CCl after structural relaxation at the PBE level of DFT.

The structure belongs to space group Cm (No. 8); the cell edges are 13.066, 3.460 and 8.858 Å and the angles 90.00°, 121.45° and 90.00°. The distinct sites, in fractional coordinates, are Zn at (0.000, 0.000, 0.000), Zn at (0.041, 0.500, 0.240), Zn at (0.097, 0.500, 0.643), Zn at (0.330, 0.000, 0.888), C at (0.090, 0.000, 0.878), C at (0.147, 0.000, 0.800), Cl at (0.224, 0.500, 0.525) and Cl at (0.422, 0.000, 0.373).

For the volume, the calculation gives 341.6 Å³/cell. Its size of the total moment is 0.00 μB/cell.

***

#two
Computed, not measured: Zn2CCl after structural relaxation at the PBE level of DFT.

The structure belongs to space group P1 (No. 1); the cell edges are 3.303, 6.166 and 7.956 Å and the angles 102.88°, 90.38° and 105.20°. The distinct sites, in fractional coordinates, are Zn at (0.000, 0.000, 0.000), Zn at (0.092, 0.160, 0.630), Zn at (0.479, 0.923, 0.238), Zn at (0.842, 0.612, 0.298), C at (0.610, 0.204, 0.489), C at (0.672, 0.316, 0.371), Cl at (0.196, 0.368, 0.919) and Cl at (0.917, 0.803, 0.703).

For the volume, the calculation gives 152.1 Å³/cell. Its size of the total moment is 0.00 μB/cell.

***

#three
Computed, not measured: Zn2CCl after structural relaxation at the PBE level of DFT.

The structure belongs to space group P1 (No. 1); the cell edges are 3.715, 5.707 and 8.650 Å and the angles 75.79°, 83.42° and 81.38°. The distinct sites, in fractional coordinates, are Zn at (0.000, 0.000, 0.000), Zn at (0.121, 0.431, 0.574), Zn at (0.428, 0.651, 0.974), Zn at (0.586, 0.983, 0.242), C at (0.798, 0.392, 0.916), C at (0.987, 0.319, 0.802), Cl at (0.158, 0.318, 0.340) and Cl at (0.538, 0.726, 0.524).

For the volume, the calculation gives 175.2 Å³/cell. Its size of the total moment is 0.00 μB/cell.

***

What is the stability order? It is #one, #two, #three, from most stable to least stable.